{
  "formula": "Cd2IF2",
  "functional": "PBE-GGA",
  "state": "optimized geometry",
  "sg": "I4_1md",
  "raw_formation_energy_kj_per_mol_fu": -608,
  "vol_a3_per_atom": 23.73,
  "lattice_angstrom": [[-2.673, -5.604, -0.555], [4.578, -1.805, -3.826], [2.261, 1.698, 6.981]],
  "species": ["Cd", "Cd", "Cd", "Cd", "I", "I", "F", "F", "F", "F"],
  "frac_coords": [[0.456, 0.733, 0.912], [0.430, 0.206, 0.412], [0.983, 0.206, 0.412], [0.456, 0.180, 0.912], [0.965, 0.965, 0.929], [0.215, 0.715, 0.429], [0.652, 0.936, 0.304], [0.618, 0.402, 0.804], [0.186, 0.402, 0.804], [0.652, 0.368, 0.304]]
}